Record 1
## Na4ZnIn3 (PBE)

Data for Na4ZnIn3 after structural relaxation.

Properties
- E: -1.943 eV/atom

The structure in CIF format:
```
data_Na4ZnIn3
_chemical_formula_sum 'Na4 Zn1 In3'
_space_group_name_H-M_alt 'P 1'
_space_group_IT_number 1
_cell_length_a 5.1433
_cell_length_b 5.1433
_cell_length_c 7.3439
_cell_angle_alpha 90.00
_cell_angle_beta 90.00
_cell_angle_gamma 90.00
loop_
_space_group_symop_operation_xyz
'x,y,z'
loop_
_atom_site_label
_atom_site_type_symbol
_atom_site_fract_x
_atom_site_fract_y
_atom_site_fract_z
Na1 Na 0.0000 0.0000 0.0000
Na2 Na 0.0000 0.5000 0.7401
Na3 Na 0.5000 0.0000 0.2599
Na4 Na 0.5000 0.5000 0.5000
Zn1 Zn 0.0000 0.0000 0.5000
In1 In 0.0000 0.5000 0.2595
In2 In 0.5000 0.0000 0.7405
In3 In 0.5000 0.5000 0.0000
```



Record 2
## Na2Hf (PBE)

Data for Na2Hf after structural relaxation.

Properties
- Spin magnetization: 2.287 μB per cell
- E: -3.347 eV/atom

The structure in CIF format:
```
data_Na2Hf
_chemical_formula_sum 'Na4 Hf2'
_space_group_name_H-M_alt 'P 1'
_space_group_IT_number 1
_cell_length_a 5.8737
_cell_length_b 5.8737
_cell_length_c 5.8737
_cell_angle_alpha 60.00
_cell_angle_beta 60.00
_cell_angle_gamma 60.00
loop_
_space_group_symop_operation_xyz
'x,y,z'
loop_
_atom_site_label
_atom_site_type_symbol
_atom_site_fract_x
_atom_site_fract_y
_atom_site_fract_z
Na1 Na 0.0000 0.0000 0.0000
Na2 Na 0.0000 0.0000 0.5000
Na3 Na 0.0000 0.5000 0.0000
Na4 Na 0.5000 0.0000 0.0000
Hf1 Hf 0.3750 0.3750 0.3750
Hf2 Hf 0.6250 0.6250 0.6250
```